Material: RbVSb
Method: DFT, PBE
State: relaxed

Values from the calculation:
- total magnetization (μB/cell) = 0.1
- electronic total energy (eV/cell) = -28.64
- SG = P1 (1)
- ΔE to the lowest computed polymorph (eV/f.u.) = 0.07
- energy relative to the elements, uncorrected (meV/atom) = -37

```
6
Lattice="-2.6287 -0.8825 -2.1859 -2.8919 -3.1591 1.9039 -8.1934 9.0086 4.9605" Properties=species:S:1:pos:R:3 pbc="T T T"
Rb -9.2345 7.2907 3.4741
Rb -4.8804 0.0719 1.1705
Sb -8.6158 3.7006 4.2005
Sb -4.3604 3.6057 1.9738
V -8.5433 2.0312 1.9373
V -7.0571 4.3726 2.0553
```